[1]
The following is a PBE-GGA calculation of an optimized crystal structure of CsBa2Ca, from Alexandria via LeMat-Bulk.

The formation energy is 184.4 meV per atom. Its symmetry is P4/mmm (123). The value obtained for the energy relative to the lowest polymorph listed for this composition is 64 meV per atom.

abc: 7.2495 7.2495 4.7719
angles: 90.00 90.00 90.00
Closest atoms and distances in Å follow each position.
Element x y z (fractional)
Cs: 0.0000 0.0000 0.0000  8 Ba 4.34, 2 Cs 4.77
Ba: 0.0000 0.5000 0.5000  4 Ca 4.34, 4 Cs 4.34, 2 Ba 4.77
Ba: 0.5000 0.0000 0.5000  4 Ca 4.34, 4 Cs 4.34, 2 Ba 4.77
Ca: 0.5000 0.5000 0.0000  8 Ba 4.34, 2 Ca 4.77

---

[2]
The following is a PBE-GGA calculation of an optimized crystal structure of Cs4BaCa3F12, from Alexandria via LeMat-Bulk.

The uncorrected formation energy comes out at -3.42 eV per atom. Its symmetry is Im-3m (229).

abc: 8.1807 8.1807 8.1807
angles: 109.47 109.47 109.47
Closest atoms and distances in Å follow each position.
Element x y z (fractional)
Cs: 0.0000 0.0000 0.5000  12 F 3.34
Cs: 0.0000 0.5000 0.0000  12 F 3.34
Cs: 0.5000 0.0000 0.0000  12 F 3.34
Cs: 0.5000 0.5000 0.5000  12 F 3.34
Ba: 0.0000 0.0000 0.0000  6 F 2.52
Ca: 0.0000 0.5000 0.5000  6 F 2.20-2.36
Ca: 0.5000 0.0000 0.5000  6 F 2.20-2.36
Ca: 0.5000 0.5000 0.0000  6 F 2.20-2.36
F: 0.0000 0.2670 0.2670  1 Ca 2.20
F: 0.0000 0.7330 0.7330  1 Ca 2.20
F: 0.2500 0.5000 0.7500  2 Ca 2.36
F: 0.2500 0.7500 0.5000  2 Ca 2.36
F: 0.2670 0.0000 0.2670  1 Ca 2.20
F: 0.2670 0.2670 0.0000  1 Ca 2.20
F: 0.5000 0.2500 0.7500  2 Ca 2.36
F: 0.5000 0.7500 0.2500  2 Ca 2.36
F: 0.7330 0.0000 0.7330  1 Ca 2.20
F: 0.7330 0.7330 0.0000  1 Ca 2.20
F: 0.7500 0.2500 0.5000  2 Ca 2.36
F: 0.7500 0.5000 0.2500  2 Ca 2.36

---

[3]
The following is a PBE-GGA calculation of an optimized crystal structure of Cs2BaCaGe, from Alexandria via LeMat-Bulk.

The formation energy is 247.5 meV per atom. Its symmetry is P4/mmm (123).

abc: 7.3828 7.3828 6.3209
angles: 90.00 90.00 90.00
Closest atoms and distances in Å follow each position.
Element x y z (fractional)
Cs: 0.0000 0.5000 0.0000  2 Ge 3.69
Cs: 0.5000 0.0000 0.0000  2 Ge 3.69
Ba: 0.0000 0.0000 0.5000  2 Ge 3.16
Ca: 0.5000 0.5000 0.5000  8 Cs 4.86, 4 Ba 5.22
Ge: 0.0000 0.0000 0.0000  2 Ba 3.16

---

[4]
The following is a PBE-GGA calculation of an optimized crystal structure of CsBaCaGeO, from Alexandria via LeMat-Bulk.

The uncorrected formation energy comes out at -0.88 eV per atom. Its symmetry is Cm (8). The value obtained for the energy relative to the lowest polymorph listed for this composition is 230 meV per atom.

abc: 10.5799 5.0187 8.2643
angles: 90.00 114.96 90.00
Closest atoms and distances in Å follow each position.
Element x y z (fractional)
Cs: 0.0000 0.0000 0.0000  1 O 3.56, 1 Ge 3.92, 1 Ca 3.97
Cs: 0.5000 0.5000 0.0000  1 O 3.56, 1 Ge 3.92, 1 Ca 3.97
Ba: 0.4103 0.0000 0.4009  2 O 2.73
Ba: 0.9103 0.5000 0.4009  2 O 2.73
Ca: 0.1715 0.0000 0.6555  1 O 2.15
Ca: 0.6715 0.5000 0.6555  1 O 2.15
Ge: 0.2452 0.5000 0.4919  1 O 1.99
Ge: 0.7452 0.0000 0.4919  1 O 1.99
O: 0.4472 0.5000 0.5448  1 Ge 1.99, 1 Ca 2.15
O: 0.9472 0.0000 0.5448  1 Ge 1.99, 1 Ca 2.15

---

[5]
The following is a PBE-GGA calculation of an optimized crystal structure of CsBaCaGeO, from Alexandria via LeMat-Bulk.

The uncorrected formation energy comes out at -0.91 eV per atom. Its symmetry is Cm (8). The value obtained for the energy relative to the lowest polymorph listed for this composition is 207 meV per atom.

abc: 9.3970 4.9632 10.3680
angles: 90.00 106.05 90.00
Closest atoms and distances in Å follow each position.
Element x y z (fractional)
Cs: 0.0000 0.0000 0.0000  3 Ca 4.15-4.41, 2 Ge 4.37
Cs: 0.5000 0.5000 0.0000  3 Ca 4.15-4.41, 2 Ge 4.37
Ba: 0.3137 0.5000 0.4542  2 O 2.60
Ba: 0.8137 0.0000 0.4542  2 O 2.60
Ca: 0.1992 0.0000 0.6893  1 O 2.16
Ca: 0.6992 0.5000 0.6893  1 O 2.16
Ge: 0.0068 0.5000 0.6549  1 O 2.02
Ge: 0.5068 0.0000 0.6549  1 O 2.02
O: 0.3015 0.0000 0.5265  1 Ge 2.02, 1 Ca 2.16
O: 0.8015 0.5000 0.5265  1 Ge 2.02, 1 Ca 2.16

---

[6]
The following is a PBE-GGA calculation of an optimized crystal structure of CsBaCaGeO, from Alexandria via LeMat-Bulk.

The uncorrected formation energy comes out at -0.87 eV per atom. Its symmetry is Pm (6). The value obtained for the energy relative to the lowest polymorph listed for this composition is 245 meV per atom.

abc: 4.4655 4.2315 10.7294
angles: 90.00 101.68 90.00
Closest atoms and distances in Å follow each position.
Element x y z (fractional)
Cs: 0.0000 0.0000 0.0000  2 Ge 3.67, 1 Ca 3.92
Ba: 0.7067 0.5000 0.4302  2 O 2.53-2.79
Ca: 0.2057 0.0000 0.6620  2 O 2.43
Ge: 0.6753 0.5000 0.7267  1 O 2.11
O: 0.3081 0.5000 0.5680  1 Ge 2.11

---

[7]
The following is a PBE-GGA calculation of an optimized crystal structure of CsBaCaGeO, from Alexandria via LeMat-Bulk.

The uncorrected formation energy comes out at -1.11 eV per atom. Its symmetry is Pmm2 (25). The value obtained for the energy relative to the lowest polymorph listed for this composition is 0 meV per atom.

abc: 3.8700 3.9032 11.8473
angles: 90.00 90.00 90.00
Closest atoms and distances in Å follow each position.
Element x y z (fractional)
Cs: 0.0000 0.0000 0.0000  4 Ge 3.72, 1 Ca 3.85, 4 Cs 3.87-3.90
Ba: 0.5000 0.5000 0.5546  4 O 2.79
Ca: 0.0000 0.0000 0.3252  1 O 2.24
Ge: 0.5000 0.5000 0.2118  4 Ca 3.06
O: 0.0000 0.0000 0.5147  1 Ca 2.24

---

[8]
The following is a PBE-GGA calculation of an optimized crystal structure of CsBa2CaH, from Alexandria via LeMat-Bulk.

The total DFT energy (no corrections) comes out at -1.9922 eV/atom. Its symmetry is P4/mmm (123).

abc: 5.9919 5.9919 6.5663
angles: 90.00 90.00 90.00
Closest atoms and distances in Å follow each position.
Element x y z (fractional)
Cs: 0.0000 0.0000 0.0000  2 H 3.28
Ba: 0.0000 0.5000 0.5000  2 H 3.00
Ba: 0.5000 0.0000 0.5000  2 H 3.00
Ca: 0.5000 0.5000 0.0000  4 Cs 4.24, 8 Ba 4.44
H: 0.0000 0.0000 0.5000  4 Ba 3.00, 2 Cs 3.28